{"formula": "BaNi3O", "functional": "PBE+U", "state": "optimized geometry", "cell": [[4.7504, 0.0000, 0.0000], [0.0000, 4.7504, 0.0000], [0.0000, 0.0000, 4.7504]], "species": ["O", "Ni", "Ni", "Ba", "Ni"], "fractional_positions": [[0.5000, 0.5000, 0.5000], [0.5000, 0.0000, 0.0000], [0.0000, 0.0000, 0.5000], [0.0000, 0.0000, 0.0000], [0.0000, 0.5000, 0.0000]], "dft_energy_ev_per_cell": -1.362}